The following is a DFT calculation (PBE) of a geometry-optimized Hf2Al3Ga2 structure.

Cell lengths 6.5646, 9.2769, 4.0355 Å; angles 90.00, 90.00, 90.00 degrees
With the nearest neighbours (Å) after each atom.
Positions (direct):
Al 0.5000 0.5000 0.0000  4 Ga 2.65, 4 Al 2.92
Al 0.8094 0.4380 0.5000  3 Ga 2.54-2.80, 1 Al 2.75
Al 0.3094 0.0620 0.5000  3 Ga 2.54-2.80, 1 Al 2.75
Al 0.0000 0.0000 0.0000  4 Ga 2.65, 4 Al 2.92
Al 0.1906 0.5620 0.5000  3 Ga 2.54-2.80, 1 Al 2.75
Al 0.6906 0.9380 0.5000  3 Ga 2.54-2.80, 1 Al 2.75
Ga 0.9136 0.1743 0.5000  5 Al 2.54-2.80, 2 Hf 2.81
Ga 0.4136 0.3257 0.5000  5 Al 2.54-2.80, 2 Hf 2.81
Ga 0.0864 0.8257 0.5000  5 Al 2.54-2.80, 2 Hf 2.81
Ga 0.5864 0.6743 0.5000  5 Al 2.54-2.80, 2 Hf 2.81
Hf 0.3941 0.8348 0.0000  4 Ga 2.81-2.86, 5 Al 2.96-3.01
Hf 0.1059 0.3347 0.0000  4 Ga 2.81-2.86, 5 Al 2.96-3.01
Hf 0.6059 0.1652 0.0000  4 Ga 2.81-2.86, 5 Al 2.96-3.01
Hf 0.8941 0.6653 0.0000  4 Ga 2.81-2.86, 5 Al 2.96-3.01

The value obtained for the density of states at the Fermi level is 2.318 states/eV/f.u. Its theoretical density is 7.80 Mg/m³. The value obtained for the polymorph energy (0 for the lowest one) is 0.0852 eV per atom. The formation energy is -0.297 eV/atom. As for the total energy: -39.27 eV/f.u.